1.
# TbRh3C

A PBEsol-optimized structure of TbRh3C (meta-GGA SCAN, Alexandria via LeMat-Bulk).

a = 4.123 Å, b = 4.123 Å, c = 4.123 Å
α = 90.00°, β = 90.00°, γ = 90.00°
Positions (direct):
Tb: 0.000 0.000 0.000
Rh: 0.000 0.500 0.500
Rh: 0.500 0.000 0.500
Rh: 0.500 0.500 0.000
C: 0.500 0.500 0.500

The calculation puts the calculated formation energy at -0.569 eV per atom.

***

2.
# Te2RhC2

A PBEsol-optimized structure of Te2RhC2 (meta-GGA SCAN, Alexandria via LeMat-Bulk).

a = 4.686 Å, b = 4.686 Å, c = 4.686 Å
α = 110.94°, β = 110.94°, γ = 106.57°
Positions (direct):
Te: 0.250 0.750 0.500
Te: 0.750 0.250 0.500
Rh: 0.000 0.000 0.000
C: 0.383 0.383 0.000
C: 0.617 0.617 0.000

The energy relative to the elements, uncorrected is 1135.6 meV/atom.

***

3.
# TiRhC2

A PBEsol-optimized structure of TiRhC2 (meta-GGA SCAN, Alexandria via LeMat-Bulk).

a = 5.795 Å, b = 5.795 Å, c = 5.795 Å
α = 134.45°, β = 134.45°, γ = 66.38°
Positions (direct):
Ti: 0.000 0.000 0.000
Ti: 0.750 0.250 0.500
Rh: 0.250 0.750 0.500
Rh: 0.500 0.500 0.000
C: 0.147 0.625 0.022
C: 0.375 0.397 0.522
C: 0.603 0.125 0.978
C: 0.875 0.853 0.478

The calculation puts the calculated formation energy at 0.222 eV per atom.

***

Calculated final energy, -161.020; -122.795; -138.224 eV per cell (same order as the records).